The following is a PBE+U calculation of crystalline Ba3Mn5O12 at its relaxed geometry, from Alexandria.

Calculated values
- Energy: -1097.13 eV for the cell shown
- Calculated volume: 2381 Å³ per cell
- Density of states at the Fermi level: 38.1 states/eV/cell

Lattice parameters (Å, degrees): 13.353 13.353 13.353 90.00 90.00 90.00
Space group Ia-3d (No. 230)
One atom of each set of equivalent atoms:
Ba  0.000  0.250  0.125 (multiplicity 24)
Mn  0.000  0.000  0.000 (multiplicity 16)
Mn  0.000  0.250  0.375 (multiplicity 24)
O  0.041  0.152  0.958 (multiplicity 96)